Crystalline K2VAuF6 at its relaxed geometry, computed with GGA+U.

Lattice parameters (Å, degrees): 6.256 6.256 6.256 60.00 60.00 60.00
Positions (direct):
K 0.250 0.250 0.250
K 0.750 0.750 0.750
V 0.000 0.000 0.000
Au 0.500 0.500 0.500
F 0.223 0.223 0.777
F 0.223 0.777 0.223
F 0.223 0.777 0.777
F 0.777 0.223 0.223
F 0.777 0.223 0.777
F 0.777 0.777 0.223

Properties
For the mass density, the calculation gives 4.22 Mg/m³. Its electronic total energy is -4.66 eV/atom. The space group is Fm-3m, No. 225.